# CsSiSe2 PBE relaxed
# Mass density, Mg/m³: 3.594
# Uncorrected formation energy, eV/atom: -0.60
# Energy above the most stable polymorph in this dataset, kJ/mol of formula units: 0
# M_tot, μB/cell: 0.000
data_CsSiSe2
_cell_length_a 7.650
_cell_length_b 7.650
_cell_length_c 10.071
_cell_angle_alpha 90.00
_cell_angle_beta 90.00
_cell_angle_gamma 90.00
_space_group_name_H-M_alt 'I -4 2 d'
_space_group_IT_number 122
_space_group_name_Hall 'I -4 2bw'
loop_
_atom_site_label
_atom_site_type_symbol
_atom_site_fract_x
_atom_site_fract_y
_atom_site_fract_z
Cs1 Cs 0.000 0.000 0.000
Si1 Si 0.000 0.000 0.500
Se1 Se 0.109 0.250 0.625

=====

# Cs2SiSe PBE relaxed
# Mass density, Mg/m³: 3.716
# Uncorrected formation energy, eV/atom: 0.11
# Energy above the most stable polymorph in this dataset, kJ/mol of formula units: 90
# M_tot, μB/cell: 8.000
data_Cs2SiSe
_cell_length_a 8.735
_cell_length_b 8.735
_cell_length_c 8.735
_cell_angle_alpha 90.00
_cell_angle_beta 90.00
_cell_angle_gamma 90.00
_space_group_name_H-M_alt 'F m -3 m'
_space_group_IT_number 225
_space_group_name_Hall '-F 4 2 3'
loop_
_atom_site_label
_atom_site_type_symbol
_atom_site_fract_x
_atom_site_fract_y
_atom_site_fract_z
Cs1 Cs 0.250 0.250 0.250
Si1 Si 0.000 0.000 0.000
Se1 Se 0.000 0.000 0.500

=====

# Cs3SiSe3 PBE relaxed
# Mass density, Mg/m³: 3.871
# Uncorrected formation energy, eV/atom: -0.89
# Energy above the most stable polymorph in this dataset, kJ/mol of formula units: 0
# M_tot, μB/cell: 0.000
data_Cs3SiSe3
_cell_length_a 20.855
_cell_length_b 7.687
_cell_length_c 14.206
_cell_angle_alpha 90.00
_cell_angle_beta 90.00
_cell_angle_gamma 90.00
_space_group_name_H-M_alt 'C m c e'
_space_group_IT_number 64
_space_group_name_Hall '-C 2ac 2'
loop_
_atom_site_label
_atom_site_type_symbol
_atom_site_fract_x
_atom_site_fract_y
_atom_site_fract_z
Cs1 Cs 0.000 0.137 0.170
Cs2 Cs 0.176 0.154 0.871
Si1 Si 0.079 0.000 0.500
Se1 Se 0.000 0.210 0.425
Se2 Se 0.146 0.142 0.611

=====

# Cs2SiSe PBE relaxed
# Mass density, Mg/m³: 2.665
# Uncorrected formation energy, eV/atom: -0.12
# Energy above the most stable polymorph in this dataset, kJ/mol of formula units: 0
# M_tot, μB/cell: 0.025
data_Cs2SiSe
_cell_length_a 13.666
_cell_length_b 13.666
_cell_length_c 4.976
_cell_angle_alpha 90.00
_cell_angle_beta 90.00
_cell_angle_gamma 90.00
_space_group_name_H-M_alt 'I -4 2 d'
_space_group_IT_number 122
_space_group_name_Hall 'I -4 2bw'
loop_
_atom_site_label
_atom_site_type_symbol
_atom_site_fract_x
_atom_site_fract_y
_atom_site_fract_z
Cs1 Cs 0.050 0.250 0.125
Si1 Si 0.000 0.000 0.500
Se1 Se 0.000 0.000 0.000

=====

# CsSmSiSe4 PBE relaxed
# Mass density, Mg/m³: 4.650
# Uncorrected formation energy, eV/atom: -1.26
# M_tot, μB/cell: 0.000
data_CsSmSiSe4
_cell_length_a 6.755
_cell_length_b 7.074
_cell_length_c 9.885
_cell_angle_alpha 90.00
_cell_angle_beta 108.49
_cell_angle_gamma 90.00
_space_group_name_H-M_alt 'P 1 21/m 1'
_space_group_IT_number 11
_space_group_name_Hall '-P 2yb'
loop_
_atom_site_label
_atom_site_type_symbol
_atom_site_fract_x
_atom_site_fract_y
_atom_site_fract_z
Cs1 Cs 0.239 0.250 0.437
Sm1 Sm 0.272 0.250 0.953
Si1 Si 0.285 0.750 0.165
Se1 Se 0.082 0.750 0.932
Se2 Se 0.090 0.750 0.314
Se3 Se 0.489 0.503 0.798

=====

# Cs2Si2SnSe6 PBE relaxed
# Mass density, Mg/m³: 3.680
# Uncorrected formation energy, eV/atom: -0.62
# M_tot, μB/cell: 0.000
data_Cs2Si2SnSe6
_cell_length_a 7.5640
_cell_length_b 7.5640
_cell_length_c 24.9845
_cell_angle_alpha 90.00
_cell_angle_beta 90.00
_cell_angle_gamma 120.00
_space_group_name_H-M_alt 'R -3 m'
_space_group_IT_number 166
_space_group_name_Hall '-R 3 2"'
loop_
_atom_site_label
_atom_site_type_symbol
_atom_site_fract_x
_atom_site_fract_y
_atom_site_fract_z
Cs1 Cs 0.0000 0.0000 0.2224
Si1 Si 0.0000 0.0000 0.4124
Sn1 Sn 0.0000 0.0000 0.0000
Se1 Se 0.0025 0.5012 0.7510

=====

# CsTaSiSe6 PBE relaxed
# Mass density, Mg/m³: 4.498
# Uncorrected formation energy, eV/atom: -0.48
# M_tot, μB/cell: 0.000
data_CsTaSiSe6
_cell_length_a 6.2700
_cell_length_b 6.2700
_cell_length_c 8.8445
_cell_angle_alpha 90.00
_cell_angle_beta 90.00
_cell_angle_gamma 120.00
_space_group_name_H-M_alt 'P 3 1 2'
_space_group_IT_number 149
_space_group_name_Hall 'P 3 2'
loop_
_atom_site_label
_atom_site_type_symbol
_atom_site_fract_x
_atom_site_fract_y
_atom_site_fract_z
Cs1 Cs 0.0000 0.0000 0.0000
Ta1 Ta 0.3333 0.6667 0.5000
Si1 Si 0.6667 0.3333 0.5000
Se1 Se 0.3646 0.0115 0.6701

=====

# CsTbSiSe4 PBE relaxed
# Mass density, Mg/m³: 4.783
# Uncorrected formation energy, eV/atom: -1.25
# M_tot, μB/cell: 0.000
data_CsTbSiSe4
_cell_length_a 6.689
_cell_length_b 7.068
_cell_length_c 9.850
_cell_angle_alpha 90.00
_cell_angle_beta 108.59
_cell_angle_gamma 90.00
_space_group_name_H-M_alt 'P 1 21/m 1'
_space_group_IT_number 11
_space_group_name_Hall '-P 2yb'
loop_
_atom_site_label
_atom_site_type_symbol
_atom_site_fract_x
_atom_site_fract_y
_atom_site_fract_z
Cs1 Cs 0.243 0.250 0.439
Tb1 Tb 0.273 0.250 0.953
Si1 Si 0.282 0.750 0.161
Se1 Se 0.072 0.750 0.929
Se2 Se 0.086 0.750 0.311
Se3 Se 0.489 0.503 0.802